Here is a relaxed Cs2RbAsBr6 crystal from Alexandria. Energies are from PBEsol.

Cell lengths 8.1923, 8.1923, 8.1923 Å; angles 60.00, 60.00, 60.00 degrees
Last column: nearest neighbours and their distance in Å.
Positions (direct):
Cs  0.7500  0.7500  0.7500  12 Br 4.11
Cs  0.2500  0.2500  0.2500  12 Br 4.11
As  0.0000  0.0000  0.0000  6 Br 2.62
Br  0.7735  0.2265  0.2265  1 As 2.62
Br  0.7735  0.7735  0.2265  1 As 2.62
Br  0.2265  0.7735  0.7735  1 As 2.62
Br  0.7735  0.2265  0.7735  1 As 2.62
Br  0.2265  0.7735  0.2265  1 As 2.62
Br  0.2265  0.2265  0.7735  1 As 2.62
Rb  0.5000  0.5000  0.5000  6 Br 3.17

Values from the calculation:
Uncorrected energy ... -3.16 eV/atom
Space-group type ... Fm-3m
Theoretical density ... 3.868 g/cm³
Magnetic moment ... 0.00 μB per formula unit
E_form (uncorrected) ... -1.233 eV/atom


Here is a relaxed CsRb2AsBr6 crystal from Alexandria. Energies are from PBEsol.

Cell lengths 8.3500, 8.3500, 8.3500 Å; angles 60.00, 60.00, 60.00 degrees
Last column: nearest neighbours and their distance in Å.
Positions (direct):
Cs  0.5000  0.5000  0.5000  6 Br 3.28
As  0.0000  0.0000  0.0000  6 Br 2.62
Br  0.7778  0.2222  0.2222  1 As 2.62
Br  0.7778  0.7778  0.2222  1 As 2.62
Br  0.2222  0.7778  0.7778  1 As 2.62
Br  0.7778  0.2222  0.7778  1 As 2.62
Br  0.2222  0.7778  0.2222  1 As 2.62
Br  0.2222  0.2222  0.7778  1 As 2.62
Rb  0.7500  0.7500  0.7500  12 Br 4.19
Rb  0.2500  0.2500  0.2500  12 Br 4.19

Values from the calculation:
Uncorrected energy ... -3.09 eV/atom
Space-group type ... Fm-3m
Theoretical density ... 3.462 g/cm³
Magnetic moment ... 0.00 μB per formula unit
E_form (uncorrected) ... -1.158 eV/atom


Here is a relaxed CsAs2RhBr crystal from Alexandria. Energies are from PBEsol.

Cell lengths 4.7396, 4.7396, 6.0256 Å; angles 90.00, 90.00, 90.00 degrees
Last column: nearest neighbours and their distance in Å.
Positions (direct):
Cs  0.5000  0.5000  0.5000  4 Br 3.35
As  0.0000  0.5000  0.0000  2 Rh 2.37
As  0.5000  0.0000  0.0000  2 Rh 2.37
Rh  0.0000  0.0000  0.0000  4 As 2.37
Br  0.0000  0.0000  0.5000  2 Rh 3.01, 4 Cs 3.35

Values from the calculation:
Uncorrected energy ... -4.43 eV/atom
Space-group type ... P4/mmm
Theoretical density ... 5.711 g/cm³
Magnetic moment ... 0.00 μB per formula unit
E_form (uncorrected) ... -0.197 eV/atom


Here is a relaxed CsSiAs2Br crystal from Alexandria. Energies are from PBEsol.

Cell lengths 5.5736, 5.5736, 6.0576 Å; angles 90.00, 90.00, 90.00 degrees
Last column: nearest neighbours and their distance in Å.
Positions (direct):
Cs  0.0000  0.0000  0.0000  4 As 2.79, 2 Br 3.03
As  0.0000  0.5000  0.0000  2 Cs 2.79
As  0.5000  0.0000  0.0000  2 Cs 2.79
Si  0.5000  0.5000  0.5000  4 Br 3.94, 8 As 4.12
Br  0.0000  0.0000  0.5000  2 Cs 3.03

Values from the calculation:
Uncorrected energy ... -2.13 eV/atom
Space-group type ... P4/mmm
Theoretical density ... 3.448 g/cm³
Magnetic moment ... 0.92 μB per formula unit
E_form (uncorrected) ... 1.622 eV/atom


Here is a relaxed CsTaAs2Br crystal from Alexandria. Energies are from PBEsol.

Cell lengths 5.4189, 5.4189, 5.8649 Å; angles 90.00, 90.00, 90.00 degrees
Last column: nearest neighbours and their distance in Å.
Positions (direct):
Cs  0.0000  0.0000  0.0000  4 As 2.71, 2 Br 2.93
As  0.0000  0.5000  0.0000  2 Cs 2.71
As  0.5000  0.0000  0.0000  2 Cs 2.71
Br  0.0000  0.0000  0.5000  2 Cs 2.93
Ta  0.5000  0.5000  0.5000  4 Br 3.83, 8 As 3.99

Values from the calculation:
Uncorrected energy ... -2.96 eV/atom
Space-group type ... P4/mmm
Theoretical density ... 5.241 g/cm³
Magnetic moment ... 2.00 μB per formula unit
E_form (uncorrected) ... 2.155 eV/atom


Here is a relaxed CsTcAs2Br crystal from Alexandria. Energies are from PBEsol.

Cell lengths 5.5285, 5.5285, 6.0377 Å; angles 90.00, 90.00, 90.00 degrees
Last column: nearest neighbours and their distance in Å.
Positions (direct):
Cs  0.0000  0.0000  0.0000  4 As 2.76, 2 Br 3.02
As  0.0000  0.5000  0.0000  2 Cs 2.76
As  0.5000  0.0000  0.0000  2 Cs 2.76
Tc  0.5000  0.5000  0.5000  4 Br 3.91, 8 As 4.09
Br  0.0000  0.0000  0.5000  2 Cs 3.02

Values from the calculation:
Uncorrected energy ... -2.76 eV/atom
Space-group type ... P4/mmm
Theoretical density ... 4.145 g/cm³
Magnetic moment ... 4.01 μB per formula unit
E_form (uncorrected) ... 2.094 eV/atom


Here is a relaxed Cs2TlAsBr6 crystal from Alexandria. Energies are from PBEsol.

Cell lengths 8.0052, 8.0052, 8.0052 Å; angles 60.00, 60.00, 60.00 degrees
Last column: nearest neighbours and their distance in Å.
Positions (direct):
Cs  0.7500  0.7500  0.7500  12 Br 4.01
Cs  0.2500  0.2500  0.2500  12 Br 4.01
Tl  0.5000  0.5000  0.5000  6 Br 3.03
As  0.0000  0.0000  0.0000  6 Br 2.63
Br  0.7674  0.2326  0.2326  1 As 2.63
Br  0.7674  0.7674  0.2326  1 As 2.63
Br  0.2326  0.7674  0.7674  1 As 2.63
Br  0.7674  0.2326  0.7674  1 As 2.63
Br  0.2326  0.7674  0.2326  1 As 2.63
Br  0.2326  0.2326  0.7674  1 As 2.63

Values from the calculation:
Uncorrected energy ... -3.17 eV/atom
Space-group type ... Fm-3m
Theoretical density ... 4.690 g/cm³
Magnetic moment ... 0.00 μB per formula unit
E_form (uncorrected) ... -1.082 eV/atom


Here is a relaxed CuAsBr2 crystal from Alexandria. Energies are from PBEsol.

Cell lengths 3.2333, 5.2996, 5.2996 Å; angles 89.98, 89.84, 89.84 degrees
Last column: nearest neighbours and their distance in Å.
Positions (direct):
As  0.0000  0.0000  0.0000  4 Br 2.65
Br  0.0000  0.0000  0.5000  2 As 2.65, 2 Cu 2.65
Br  0.0000  0.5000  0.0000  2 Cu 2.65, 2 As 2.65
Cu  0.0000  0.5000  0.5000  4 Br 2.65

Values from the calculation:
Uncorrected energy ... -3.03 eV/atom
Space-group type ... C2/m
Theoretical density ... 5.454 g/cm³
Magnetic moment ... 0.00 μB per formula unit
Energy above the most stable polymorph in this dataset ... 0 meV/atom
E_form (uncorrected) ... 0.265 eV/atom


Here is a relaxed CuAsBr2 crystal from Alexandria. Energies are from PBEsol.

Cell lengths 3.4584, 4.4453, 5.4562 Å; angles 89.94, 90.00, 90.00 degrees
Last column: nearest neighbours and their distance in Å.
Positions (direct):
As  0.0000  0.0000  0.5000  6 Br 2.73-2.82
Br  0.0000  0.0000  0.0000  2 As 2.73, 4 Cu 2.82
Br  0.5000  0.5000  0.5000  2 Cu 2.73, 4 As 2.82
Cu  0.5000  0.5000  0.0000  6 Br 2.73-2.82

Values from the calculation:
Uncorrected energy ... -2.98 eV/atom
Space-group type ... Pmmm
Theoretical density ... 5.905 g/cm³
Magnetic moment ... 0.00 μB per formula unit
Energy above the most stable polymorph in this dataset ... 46 meV/atom
E_form (uncorrected) ... 0.312 eV/atom


Here is a relaxed CuAsBr crystal from Alexandria. Energies are from PBEsol.

Cell lengths 3.3852, 3.3852, 6.1818 Å; angles 98.62, 98.62, 116.92 degrees
Last column: nearest neighbours and their distance in Å.
Positions (direct):
As  0.9678  0.9678  0.9356  2 Cu 2.37
Br  0.6979  0.6979  0.3959  2 Cu 2.40
Cu  0.3343  0.3343  0.6686  2 As 2.37, 2 Br 2.40

Values from the calculation:
Uncorrected energy ... -3.59 eV/atom
Space-group type ... Fmm2
Theoretical density ... 5.992 g/cm³
Magnetic moment ... 0.00 μB per formula unit
Energy above the most stable polymorph in this dataset ... 97 meV/atom
E_form (uncorrected) ... 0.180 eV/atom


Here is a relaxed CuAsBr2 crystal from Alexandria. Energies are from PBEsol.

Cell lengths 3.3658, 4.0824, 6.5527 Å; angles 90.00, 90.00, 90.00 degrees
Last column: nearest neighbours and their distance in Å.
Positions (direct):
As  0.0000  0.5000  0.5000  4 Br 2.65
Br  0.0000  0.0000  0.0000  4 Cu 2.65
Br  0.5000  0.0000  0.5000  4 As 2.65
Cu  0.5000  0.5000  0.0000  4 Br 2.65

Values from the calculation:
Uncorrected energy ... -2.92 eV/atom
Space-group type ... Pmmm
Theoretical density ... 5.501 g/cm³
Magnetic moment ... 0.58 μB per formula unit
Energy above the most stable polymorph in this dataset ... 109 meV/atom
E_form (uncorrected) ... 0.374 eV/atom


Here is a relaxed CuAsBr crystal from Alexandria. Energies are from PBEsol.

Cell lengths 3.4698, 3.4698, 5.8593 Å; angles 107.22, 107.22, 90.00 degrees
Last column: nearest neighbours and their distance in Å.
Positions (direct):
As  0.8997  0.8997  0.7993  1 Br 2.45, 4 Cu 2.48
Br  0.6695  0.6695  0.3391  1 As 2.45, 1 Cu 2.54
Cu  0.4308  0.4308  0.8616  4 As 2.48, 1 Br 2.54

Values from the calculation:
Uncorrected energy ... -3.69 eV/atom
Space-group type ... I4mm
Theoretical density ... 5.660 g/cm³
Magnetic moment ... 0.00 μB per formula unit
Energy above the most stable polymorph in this dataset ... 0 meV/atom
E_form (uncorrected) ... 0.083 eV/atom


- What is the formula in the eighth record?
  CuAsBr2